# Mn2Cr2GaO6

A geometry-optimized Mn2Cr2GaO6 structure (PBE with a Hubbard U, Alexandria).

Unit cell a=5.4209 b=9.0724 c=5.4344 alpha=90.00 beta=109.84 gamma=90.00
Last column: nearest neighbours and their distance in Å.
Space group C2/m (No. 12)
Asymmetric unit:
Mn 0.0000 0.1717 0.0000  6 O 2.19-2.28
Cr 0.0000 0.3372 0.5000  6 O 2.04-2.27
Ga 0.0000 0.0000 0.5000  6 O 1.99-2.09
O 0.2182 0.1720 0.7267  2 Cr 2.04-2.27, 1 Ga 2.09, 2 Mn 2.19-2.24
O 0.2373 0.0000 0.2906  1 Ga 1.99, 2 Cr 2.10

Summary:
The theoretical density comes out at 5.0 Mg/m³. The calculation puts the calculated total energy at -0.542 Ry/atom. The calculation puts the density of states at the Fermi level at 0.38 states/eV per atom.